Material: KNdMnS3
Method: DFT, PBE-GGA
State: optimized geometry

## Properties
- space group = P2_1/m (11)

Cell: 4.1736 8.8804 9.5538 Å, 104.70 90.00 90.00°
Site moments in Bohr magnetons follow the coordinates.
Fractional coordinates of all 12 atoms:
S: 0.7500 0.4501 0.1538  0.02
Mn: 0.2500 0.0867 0.6067  4.17
S: 0.7500 0.1902 0.5307  0.11
Nd: 0.7500 0.3368 0.8523  0.03
Mn: 0.7500 0.9133 0.3933  4.17
S: 0.2500 0.1146 0.8553  0.06
S: 0.2500 0.8098 0.4693  0.11
S: 0.2500 0.5499 0.8462  0.02
K: 0.2500 0.1926 0.2186  0.00
Nd: 0.2500 0.6632 0.1477  0.03
K: 0.7500 0.8074 0.7814  0.00
S: 0.7500 0.8854 0.1447  0.06

Material: K3Nd2MnSe6
Method: DFT, PBE-GGA
State: optimized geometry

## Properties
- space group = C2/m (12)

Cell: 7.3245 7.3245 8.0608 Å, 98.54 98.54 120.60°
Site moments in Bohr magnetons follow the coordinates.
Fractional coordinates of all 12 atoms:
Se: 0.3810 0.0699 0.2055  0.00
K: 0.1700 0.8300 0.5000  0.00
Se: 0.2303 0.2303 0.8068  -0.05
Se: 0.7697 0.7697 0.1932  -0.05
K: 0.8300 0.1700 0.5000  0.00
Nd: 0.3319 0.6681 0.0000  0.01
Se: 0.0699 0.3810 0.2055  0.00
Se: 0.9301 0.6190 0.7945  0.00
K: 0.5000 0.5000 0.5000  0.00
Se: 0.6190 0.9301 0.7945  0.00
Mn: 0.0000 0.0000 0.0000  3.85
Nd: 0.6681 0.3319 0.0000  0.01

Material: K2NdMn2Se4
Method: DFT, PBE-GGA
State: optimized geometry

## Properties
- space group = C2/m (12)

Cell: 4.2378 8.0390 8.1130 Å, 109.45 105.14 90.00°
Site moments in Bohr magnetons follow the coordinates.
Fractional coordinates of all 9 atoms:
Se: 0.7960 0.8208 0.5920  0.07
Mn: 0.6785 0.9839 0.3571  3.92
K: 0.8697 0.4453 0.7395  0.01
Nd: 0.0000 0.0000 0.0000  0.00
Se: 0.2040 0.1792 0.4080  0.07
K: 0.1303 0.5547 0.2605  0.01
Se: 0.4786 0.2434 0.9571  0.03
Se: 0.5214 0.7566 0.0429  0.03
Mn: 0.3215 0.0161 0.6429  3.92

Material: K2NdMnSe4
Method: DFT, PBE-GGA
State: optimized geometry

## Properties
- space group = Imma (74)

Cell: 8.7173 8.7173 8.7805 Å, 120.24 120.24 92.38°
Site moments in Bohr magnetons follow the coordinates.
Fractional coordinates of all 16 atoms:
Nd: 0.0000 0.5000 0.5000  0.02
Se: 0.2423 0.2578 0.4353  -0.10
Se: 0.7577 0.7422 0.5647  -0.10
Mn: 0.5000 0.5000 0.5000  3.93
K: 0.5000 0.0000 0.5000  0.00
K: 0.5000 0.0000 0.0000  0.00
Mn: 0.0000 0.0000 0.0000  3.93
Se: 0.2393 0.7257 0.4825  0.03
K: 0.0000 0.0000 0.5000  0.00
Se: 0.2422 0.2577 0.0647  -0.10
Se: 0.2257 0.7393 0.9825  0.03
Nd: 0.0000 0.5000 0.0000  0.02
K: 0.5000 0.5000 0.0000  0.00
Se: 0.7607 0.2743 0.5175  0.03
Se: 0.7743 0.2607 0.0175  0.03
Se: 0.7578 0.7423 0.9353  -0.10

Material: KNd2MnSe4
Method: DFT, PBE-GGA
State: optimized geometry

## Properties
- space group = Cmcm (63)

Cell: 4.2195 7.5771 14.8167 Å, 90.00 90.00 106.17°
Site moments in Bohr magnetons follow the coordinates.
Fractional coordinates of all 16 atoms:
Nd: 0.3674 0.7347 0.9411  -0.05
Se: 0.7327 0.4654 0.6153  0.04
K: 0.1070 0.2140 0.7500  0.00
Se: 0.4318 0.8636 0.7500  0.04
Nd: 0.3674 0.7347 0.5589  -0.05
Se: 0.5682 0.1364 0.2500  0.04
Mn: 0.1661 0.3322 0.2500  3.83
Nd: 0.6326 0.2653 0.4411  -0.05
Se: 0.7327 0.4654 0.8847  0.04
Se: 0.2673 0.5346 0.1153  0.04
K: 0.8930 0.7860 0.2500  0.00
Nd: 0.6326 0.2653 0.0589  -0.05
Se: 0.2673 0.5346 0.3847  0.04
Se: 0.0000 0.0000 0.0000  0.01
Mn: 0.8339 0.6678 0.7500  3.83
Se: 0.0000 0.0000 0.5000  0.01

Material: K3Nd2MnTe6
Method: DFT, PBE-GGA
State: optimized geometry

## Properties
- space group = C2/m (12)

Cell: 7.8065 7.8065 8.6280 Å, 98.61 98.61 120.35°
Site moments in Bohr magnetons follow the coordinates.
Fractional coordinates of all 12 atoms:
Te: 0.6224 0.9310 0.7946  -0.02
Te: 0.3776 0.0690 0.2054  -0.02
K: 0.5000 0.5000 0.5000  0.00
Te: 0.9310 0.6224 0.7946  -0.02
K: 0.8273 0.1727 0.5000  0.00
Te: 0.2338 0.2338 0.7992  -0.04
Te: 0.0690 0.3776 0.2054  -0.02
K: 0.1727 0.8273 0.5000  0.00
Mn: 0.0000 0.0000 0.0000  3.91
Nd: 0.6668 0.3332 0.0000  0.02
Nd: 0.3332 0.6668 0.0000  0.02
Te: 0.7662 0.7662 0.2008  -0.04

Number 1: formation energy without anion corrections -799 kJ/mol of formula units. Number 2: formation energy without anion corrections -1566 kJ/mol of formula units. Number 3: formation energy without anion corrections -945 kJ/mol of formula units. Number 4: formation energy without anion corrections -877 kJ/mol of formula units. Number 5: formation energy without anion corrections -1128 kJ/mol of formula units. Number 6: formation energy without anion corrections -1222 kJ/mol of formula units.